Entry 1:
PBE LaEr2H, relaxed; raw total energy = -4.4112 eV per atom; symmetry = R-3m; energy relative to the lowest polymorph listed for this composition = 0.0000 eV per atom
1.0
3.469 0.000 0.000
-1.735 3.004 0.000
0.000 0.000 28.626
La Er H
3 6 3
Direct
0.000 0.000 0.000
0.333 0.667 0.667
0.667 0.333 0.333
0.000 0.000 0.121
0.000 0.000 0.879
0.333 0.667 0.546
0.333 0.667 0.787
0.667 0.333 0.213
0.667 0.333 0.454
0.000 0.000 0.500
0.333 0.667 0.167
0.667 0.333 0.833

Entry 2:
PBE LaErH2, relaxed; raw total energy = -4.3451 eV per atom; symmetry = R3m; energy relative to the lowest polymorph listed for this composition = 0.0783 eV per atom
1.0
3.524 0.000 0.000
-1.762 3.052 0.000
0.000 0.000 18.305
La Er H
3 3 6
Direct
0.000 0.000 0.000
0.333 0.667 0.667
0.667 0.333 0.333
0.000 0.000 0.176
0.333 0.667 0.843
0.667 0.333 0.509
0.000 0.000 0.575
0.000 0.000 0.781
0.333 0.667 0.241
0.333 0.667 0.447
0.667 0.333 0.114
0.667 0.333 0.908

Entry 3:
PBE La3Er5H12, relaxed; raw total energy = -4.3559 eV per atom; symmetry = Ia-3d
1.0
-6.669 6.669 6.669
6.669 -6.669 6.669
6.669 6.669 -6.669
La Er H
12 20 48
Direct
0.125 0.250 0.375
0.125 0.375 0.750
0.250 0.375 0.125
0.250 0.875 0.625
0.375 0.125 0.250
0.375 0.750 0.125
0.625 0.250 0.875
0.625 0.875 0.750
0.750 0.125 0.375
0.750 0.625 0.875
0.875 0.625 0.250
0.875 0.750 0.625
0.000 0.000 0.000
0.000 0.000 0.500
0.000 0.500 0.000
0.000 0.500 0.500
0.125 0.750 0.875
0.125 0.875 0.250
0.250 0.125 0.875
0.250 0.625 0.375
0.375 0.250 0.625
0.375 0.625 0.750
0.500 0.000 0.000
0.500 0.000 0.500
0.500 0.500 0.000
0.500 0.500 0.500
0.625 0.375 0.250
0.625 0.750 0.375
0.750 0.375 0.625
0.750 0.875 0.125
0.875 0.125 0.750
0.875 0.250 0.125
0.054 0.216 0.140
0.054 0.338 0.915
0.077 0.716 0.662
0.077 0.860 0.415
0.085 0.640 0.423
0.085 0.946 0.662
0.140 0.054 0.216
0.140 0.585 0.923
0.162 0.216 0.577
0.162 0.446 0.585
0.216 0.140 0.054
0.216 0.577 0.162
0.284 0.338 0.923
0.284 0.446 0.360
0.338 0.915 0.054
0.338 0.923 0.284
0.360 0.284 0.446
0.360 0.577 0.915
0.415 0.077 0.860
0.415 0.838 0.554
0.423 0.085 0.640
0.423 0.838 0.784
0.446 0.360 0.284
0.446 0.585 0.162
0.554 0.415 0.838
0.554 0.640 0.716
0.577 0.162 0.216
0.577 0.915 0.360
0.585 0.162 0.446
0.585 0.923 0.140
0.640 0.423 0.085
0.640 0.716 0.554
0.662 0.077 0.716
0.662 0.085 0.946
0.716 0.554 0.640
0.716 0.662 0.077
0.784 0.423 0.838
0.784 0.860 0.946
0.838 0.554 0.415
0.838 0.784 0.423
0.860 0.415 0.077
0.860 0.946 0.784
0.915 0.054 0.338
0.915 0.360 0.577
0.923 0.140 0.585
0.923 0.284 0.338
0.946 0.662 0.085
0.946 0.784 0.860

Entry 4:
PBE La3ErH, relaxed; raw total energy = -4.7014 eV per atom; symmetry = Pm-3m
1.0
5.226 0.000 0.000
0.000 5.226 0.000
0.000 0.000 5.226
La Er H
3 1 1
Direct
0.000 0.000 0.500
0.000 0.500 0.000
0.500 0.000 0.000
0.500 0.500 0.500
0.000 0.000 0.000

Entry 5:
PBE LaEr3H, relaxed; raw total energy = -4.5448 eV per atom; symmetry = Pm-3m
1.0
5.011 0.000 0.000
0.000 5.011 0.000
0.000 0.000 5.011
La Er H
1 3 1
Direct
0.000 0.000 0.000
0.000 0.500 0.500
0.500 0.000 0.500
0.500 0.500 0.000
0.500 0.500 0.500

Entry 6:
PBE La2ErH8, relaxed; raw total energy = -4.3619 eV per atom; symmetry = Immm
1.0
-1.939 2.630 5.817
1.939 -2.630 5.817
1.939 2.630 -5.817
La Er H
2 1 8
Direct
0.169 0.169 0.000
0.831 0.831 0.000
0.500 0.500 0.000
0.102 0.350 0.752
0.262 0.000 0.262
0.324 0.824 0.500
0.402 0.650 0.752
0.598 0.350 0.248
0.676 0.176 0.500
0.738 0.000 0.738
0.898 0.650 0.248